Material: Tb6Zn3Cd
Method: DFT, PBE
State: relaxed

POSCAR file:
```
Tb6Zn3Cd
1.0
5.010 0.000 0.000
0.000 9.384 -2.048
0.000 0.869 10.653
Tb Zn Cd
12 6 2
direct
0.250 0.780 0.258
0.750 0.721 0.462
0.750 0.220 0.742
0.250 0.279 0.538
0.250 0.433 0.094
0.750 0.365 0.319
0.250 0.635 0.681
0.250 0.076 0.912
0.250 0.124 0.247
0.750 0.567 0.906
0.750 0.924 0.088
0.750 0.876 0.753
0.750 0.235 0.039
0.750 0.620 0.183
0.250 0.765 0.961
0.750 0.475 0.612
0.250 0.525 0.388
0.250 0.380 0.817
0.250 0.950 0.576
0.750 0.050 0.424
```

Results
Density: 8.22 Mg/m³
M_tot: 0.000 Bohr magnetons per cell
DFT formation energy: -200 kJ/mol of formula units